(1)
The following is a PBE-GGA calculation of RbLiPt2F after structural relaxation, from Alexandria via LeMat-Bulk.

For the raw total energy, the calculation gives -3.43 eV per atom. The calculated volume is 27.35 Å³ per atom.

It has space group P4/mmm (No. 123), with a = 4.2035 Å, b = 4.2035 Å, c = 7.7408 Å, α = 90.00°, β = 90.00° and γ = 90.00°. The distinct sites, in fractional coordinates, are Rb at (0.0000, 0.0000, 0.0000), Li at (0.0000, 0.0000, 0.5000), Pt at (0.0000, 0.5000, 0.5000) and F at (0.5000, 0.5000, 0.0000).


(2)
The following is a PBE-GGA calculation of Ce3Si3Ru after structural relaxation, from Alexandria via LeMat-Bulk.

For the raw total energy, the calculation gives -6.90 eV per atom. The calculated volume is 21.16 Å³ per atom.

It has space group C2/m (No. 12), with a = 10.7671 Å, b = 4.2816 Å, c = 13.9336 Å, α = 90.00°, β = 112.70° and γ = 90.00°. The distinct sites, in fractional coordinates, are Ce at (0.0190, 0.0000, 0.3715), Ce at (0.1025, 0.0000, 0.9209), Ce at (0.2439, 0.5000, 0.7730), Si at (0.0632, 0.5000, 0.2391), Si at (0.1083, 0.5000, 0.0761), Si at (0.1358, 0.5000, 0.5441) and Ru at (0.2442, 0.5000, 0.4185).


(3)
The following is a PBE-GGA calculation of CeHo14Er after structural relaxation, from Alexandria via LeMat-Bulk.

For the raw total energy, the calculation gives -4.63 eV per atom. The calculated volume is 30.91 Å³ per atom.

It has space group P4/mmm (No. 123), with a = 7.0443 Å, b = 7.0443 Å, c = 9.9656 Å, α = 90.00°, β = 90.00° and γ = 90.00°. The distinct sites, in fractional coordinates, are Ce at (0.0000, 0.0000, 0.0000), Ho at (0.0000, 0.0000, 0.5000), Ho at (0.0000, 0.5000, 0.0000), Ho at (0.0000, 0.5000, 0.5000), Ho at (0.2492, 0.2492, 0.2497), Ho at (0.5000, 0.5000, 0.5000) and Er at (0.5000, 0.5000, 0.0000).


(4)
The following is a PBE-GGA calculation of CdS after structural relaxation, from Alexandria via LeMat-Bulk.

For the raw total energy, the calculation gives -3.13 eV per atom. The calculated volume is 27.36 Å³ per atom.

It has space group P4_2/mnm (No. 136), with a = 7.2121 Å, b = 7.2121 Å, c = 4.2086 Å, α = 90.00°, β = 90.00° and γ = 90.00°. The distinct sites, in fractional coordinates, are Cd at (0.1784, 0.1784, 0.0000) and S at (0.1825, 0.8175, 0.0000).


(5)
The following is a PBE-GGA calculation of RbAg2MoS4 after structural relaxation, from Alexandria via LeMat-Bulk.

For the raw total energy, the calculation gives -4.72 eV per atom. The calculated volume is 25.70 Å³ per atom.

It has space group I-42m (No. 121), with a = 6.7704 Å, b = 6.7704 Å, c = 8.9705 Å, α = 90.00°, β = 90.00° and γ = 90.00°. The distinct sites, in fractional coordinates, are Rb at (0.0000, 0.0000, 0.0000), Ag at (0.0000, 0.5000, 0.2500), Mo at (0.0000, 0.0000, 0.5000) and S at (0.1886, 0.1886, 0.6484).


(6)
The following is a PBE-GGA calculation of TaSi2Ru after structural relaxation, from Alexandria via LeMat-Bulk.

For the raw total energy, the calculation gives -8.42 eV per atom. The calculated volume is 14.32 Å³ per atom.

It has space group P4mm (No. 99), with a = 3.1401 Å, b = 3.1401 Å, c = 5.8073 Å, α = 90.00°, β = 90.00° and γ = 90.00°. The distinct sites, in fractional coordinates, are Ta at (0.0000, 0.0000, 0.0000), Si at (0.0000, 0.0000, 0.5262), Si at (0.5000, 0.5000, 0.7628) and Ru at (0.5000, 0.5000, 0.3264).


(7)
The following is a PBE-GGA calculation of CdIr2Ru after structural relaxation, from Alexandria via LeMat-Bulk.

For the raw total energy, the calculation gives -6.46 eV per atom. The calculated volume is 15.72 Å³ per atom.

It has space group F-43m (No. 216), with a = 6.3127 Å, b = 6.3127 Å, c = 6.3127 Å, α = 90.00°, β = 90.00° and γ = 90.00°. The distinct sites, in fractional coordinates, are Cd at (0.0000, 0.0000, 0.0000), Ir at (0.0000, 0.0000, 0.5000), Ir at (0.2500, 0.2500, 0.7500) and Ru at (0.2500, 0.2500, 0.2500).


(8)
The following is a PBE-GGA calculation of LiAl2Au6 after structural relaxation, from Alexandria via LeMat-Bulk.

For the raw total energy, the calculation gives -3.52 eV per atom. The polymorph energy (0 for the lowest one) comes out at 0.081 eV per atom. The calculated volume is 18.55 Å³ per atom.

It has space group C2/m (No. 12), with a = 13.4786 Å, b = 6.8012 Å, c = 3.7447 Å, α = 90.00°, β = 103.46° and γ = 90.00°. The distinct sites, in fractional coordinates, are Li at (0.0000, 0.0000, 0.0000), Al at (0.1670, 0.5000, 0.6680), Au at (0.0000, 0.2799, 0.5000) and Au at (0.1655, 0.2240, 0.1665).


Q: calculated volume of number 8 (LiAl2Au6)?
A: 18.55 Å³ per atom